Material: Ca2SmZn6
Method: DFT, PBE
State: optimized geometry

Values from the calculation:
Electronic total energy = -2.1181 eV/atom
SG = P6/mmm (191)
Mass density = 5289 kg/m3

Structure (POSCAR):
```
Ca2SmZn6
1.0
7.8034 0.0000 0.0000
-3.9017 6.7579 0.0000
0.0000 0.0000 3.7092
Ca Sm Zn
2 1 6
direct
0.3333 0.6667 0.0000 Ca
0.6667 0.3333 0.0000 Ca
0.0000 0.0000 0.0000 Sm
0.0000 0.3337 0.5000 Zn
0.0000 0.6663 0.5000 Zn
0.3337 0.0000 0.5000 Zn
0.3337 0.3337 0.5000 Zn
0.6663 0.0000 0.5000 Zn
0.6663 0.6663 0.5000 Zn
```